# TmICl | the Alexandria database | PBE | optimized geometry
data_TmICl
_chemical_formula_sum 'Tm2 I2 Cl2'
_cell_length_a 3.888
_cell_length_b 6.716
_cell_length_c 9.391
_cell_angle_alpha 63.26
_cell_angle_beta 78.77
_cell_angle_gamma 89.99
_symmetry_space_group_name_H-M 'P 1'
_symmetry_Int_Tables_number 1
_symmetry_space_group_name_Hall 'P 1'
loop_
_atom_site_label
_atom_site_type_symbol
_atom_site_fract_x
_atom_site_fract_y
_atom_site_fract_z
_atom_site_occupancy
Tm1 Tm 0.749 0.712 0.503 1
Tm2 Tm 0.251 0.288 0.497 1
I1 I 0.121 0.419 0.776 1
I2 I 0.879 0.581 0.224 1
Cl1 Cl 0.673 0.978 0.664 1
Cl2 Cl 0.327 0.022 0.336 1
# Volume: 35.6 Å³/atom
# Relative energy among the computed polymorphs: 0.000 eV/atom
# Density: 5.15 g cm⁻³
# Total DFT energy (no corrections): -24.87 eV/cell
# SG: P-1, No. 2